1.
LiCaHgSb: relaxed, PBE-GGA.

Lattice parameters (Å, degrees): 7.3925 7.3925 7.3925 90.00 90.00 90.00
Space group F-43m (No. 216)
Symmetry-distinct sites (fractional):
Li  0.0000  0.0000  0.0000 [4 per cell]
Ca  0.0000  0.0000  0.5000 [4 per cell]
Hg  0.2500  0.2500  0.2500 [4 per cell]
Sb  0.2500  0.2500  0.7500 [4 per cell]

As for the crystal system: cubic. The value obtained for the formation energy (no corrections) is -0.652 eV/atom.

2.
AcY2ErSe4: relaxed, PBE-GGA.

Lattice parameters (Å, degrees): 7.1532 4.0976 7.4220 90.00 108.51 90.00
Space group P2/m (No. 10)
Symmetry-distinct sites (fractional):
Ac  0.0000  0.0000  0.0000 [1 per cell]
Y  0.5000  0.0000  0.5000 [1 per cell]
Y  0.5000  0.5000  0.0000 [1 per cell]
Er  0.0000  0.5000  0.5000 [1 per cell]
Se  0.2540  0.0000  0.7363 [2 per cell]
Se  0.2659  0.5000  0.2711 [2 per cell]

As for the crystal system: monoclinic. The value obtained for the formation energy (no corrections) is -1.736 eV/atom.

Number 1: Fermi-level density of states 0.37 states/eV/cell. Number 2: Fermi-level density of states 4.20 states/eV/cell.